VASP calculation (PBE-GGA) on a relaxed structure of PuGaAgBi.

Results
Magnetization: 1.467 μB per atom
Uncorrected energy: -6.09 eV/atom
Energy relative to the elements: -0.0647 eV/atom

Cell lengths 7.292, 7.292, 7.292 Å; angles 90.00, 90.00, 90.00 degrees
Space group F-43m (No. 216)
Asymmetric unit:
Pu1 0.000 0.000 0.000 [4 per cell]
Ga1 0.250 0.250 0.750 [4 per cell]
Ag1 0.250 0.250 0.250 [4 per cell]
Bi1 0.000 0.000 0.500 [4 per cell]